# 1
# BaLi3As

A relaxed BaLi3As crystal (GGA-PBE, the Alexandria database).

- Crystal system: cubic
- Space group: Pm-3m (221)
- Calculated density: 2.56 g/cm3
- Total magnetization: 1.809 Bohr magnetons per cell
- Formation energy: 1.0486 eV/atom
- V: 30.24 A^3/atom

Unit cell a=5.3272 b=5.3272 c=5.3272 alpha=90.00 beta=90.00 gamma=90.00
With the nearest neighbours (Å) after each atom.
Fractional positions:
Ba 0.0000 0.0000 0.0000  6 Li 2.66
Li 0.0000 0.0000 0.5000  2 Ba 2.66
Li 0.0000 0.5000 0.0000  2 Ba 2.66
Li 0.5000 0.0000 0.0000  2 Ba 2.66
As 0.5000 0.5000 0.5000  12 Li 3.77


# 2
# ReSb2IO

A relaxed ReSb2IO crystal (GGA-PBE, the Alexandria database).

- Crystal system: tetragonal
- Formation energy without anion corrections: 930 meV/atom
- Space group: P4/mmm (123)
- Calculated density: 8.88 g/cm3
- Total magnetization: 1.703 Bohr magnetons per cell
- V: 21.42 A^3/atom

Unit cell a=4.4790 b=4.4790 c=5.3394 alpha=90.00 beta=90.00 gamma=90.00
With the nearest neighbours (Å) after each atom.
Fractional positions:
Re 0.0000 0.0000 0.0000  4 I 3.17, 8 Sb 3.48
Sb 0.0000 0.5000 0.5000  2 O 2.24
Sb 0.5000 0.0000 0.5000  2 O 2.24
I 0.5000 0.5000 0.0000  2 O 2.67
O 0.5000 0.5000 0.5000  4 Sb 2.24


Across the entries above, energy takes the values -7.07; -22.55 eV for the cell shown, respectively.